1.
Below is crystalline Ta2MoAs at its relaxed geometry, with properties calculated at the GGA-PBE level.

a = 5.924 Å, b = 8.755 Å, c = 2.914 Å
α = 90.00°, β = 114.87°, γ = 90.00°
Fractional positions:
1 Ta 0.250 0.250 0.000
2 Ta 0.250 0.750 0.000
3 Ta 0.750 0.250 0.000
4 Ta 0.750 0.750 0.000
5 Mo 0.000 0.000 0.500
6 Mo 0.500 0.500 0.500
7 As 0.000 0.500 0.500
8 As 0.500 0.000 0.500

Its space group is C2/m. The formation energy from the elements is 0.2 eV per formula unit. For the total energy, the calculation gives -9.734 eV per atom. The value obtained for the density of states at the Fermi level is 0.526 states/eV per atom.

---

2.
Below is crystalline Ho4ErAl2 at its relaxed geometry, with properties calculated at the GGA-PBE level.

a = 10.396 Å, b = 10.396 Å, c = 10.396 Å
α = 27.82°, β = 27.82°, γ = 27.82°
Fractional positions:
1 Ho 0.103 0.103 0.103
2 Ho 0.298 0.298 0.298
3 Ho 0.702 0.702 0.702
4 Ho 0.897 0.897 0.897
5 Er 0.500 0.500 0.500
6 Al 0.401 0.401 0.401
7 Al 0.599 0.599 0.599

Its space group is R-3m. The formation energy from the elements is 0.8 eV per formula unit. For the total energy, the calculation gives -4.229 eV per atom. The value obtained for the density of states at the Fermi level is 1.327 states/eV per atom.

---

3.
Below is crystalline Ba2SrLa at its relaxed geometry, with properties calculated at the GGA-PBE level.

a = 4.162 Å, b = 4.162 Å, c = 41.244 Å
α = 90.00°, β = 90.00°, γ = 120.00°
Fractional positions:
1 Ba 0.000 0.000 0.245
2 Ba 0.000 0.000 0.755
3 Ba 0.333 0.667 0.421
4 Ba 0.333 0.667 0.912
5 Ba 0.667 0.333 0.088
6 Ba 0.667 0.333 0.579
7 Sr 0.000 0.000 0.000
8 Sr 0.333 0.667 0.667
9 Sr 0.667 0.333 0.333
10 La 0.000 0.000 0.500
11 La 0.333 0.667 0.167
12 La 0.667 0.333 0.833

Its space group is R-3m. The formation energy from the elements is 0.5 eV per formula unit. For the total energy, the calculation gives -2.494 eV per atom. The value obtained for the density of states at the Fermi level is 1.689 states/eV per atom.

---

4.
Below is crystalline TiS3Cl at its relaxed geometry, with properties calculated at the GGA-PBE level.

a = 4.697 Å, b = 4.697 Å, c = 4.697 Å
α = 90.00°, β = 90.00°, γ = 90.00°
Fractional positions:
1 Ti 0.000 0.000 0.000
2 S 0.000 0.000 0.500
3 S 0.000 0.500 0.000
4 S 0.500 0.000 0.000
5 Cl 0.500 0.500 0.500

Its space group is Pm-3m. As for the raw formation energy: -14.0 kJ per mole of atoms. For the total energy, the calculation gives -4.569 eV per atom. The value obtained for the density of states at the Fermi level is 1.402 states/eV per atom.

---

5.
Below is crystalline Ac12Ga6Os at its relaxed geometry, with properties calculated at the GGA-PBE level.

a = 9.158 Å, b = 9.158 Å, c = 9.158 Å
α = 98.84°, β = 98.84°, γ = 98.84°
Fractional positions:
1 Ac 0.029 0.684 0.932
2 Ac 0.068 0.971 0.316
3 Ac 0.185 0.429 0.573
4 Ac 0.316 0.068 0.971
5 Ac 0.427 0.815 0.571
6 Ac 0.429 0.573 0.185
7 Ac 0.571 0.427 0.815
8 Ac 0.573 0.185 0.429
9 Ac 0.684 0.932 0.029
10 Ac 0.815 0.571 0.427
11 Ac 0.932 0.029 0.684
12 Ac 0.971 0.316 0.068
13 Ga 0.132 0.632 0.305
14 Ga 0.305 0.132 0.632
15 Ga 0.368 0.695 0.868
16 Ga 0.632 0.305 0.132
17 Ga 0.695 0.868 0.368
18 Ga 0.868 0.368 0.695
19 Os 0.000 0.000 0.000

Its space group is R-3. The formation energy from the elements is -3.2 eV per formula unit. For the total energy, the calculation gives -4.310 eV per atom. The value obtained for the density of states at the Fermi level is 1.323 states/eV per atom.

---

6.
Below is crystalline RbAl2CrCl8 at its relaxed geometry, with properties calculated at the GGA-PBE level.

a = 10.254 Å, b = 10.254 Å, c = 10.254 Å
α = 36.78°, β = 36.78°, γ = 36.78°
Fractional positions:
1 Rb 0.000 0.000 0.000
2 Al 0.246 0.246 0.246
3 Al 0.754 0.754 0.754
4 Cr 0.500 0.500 0.500
5 Cl 0.098 0.773 0.459
6 Cl 0.227 0.541 0.902
7 Cl 0.322 0.322 0.322
8 Cl 0.459 0.098 0.773
9 Cl 0.541 0.902 0.227
10 Cl 0.678 0.678 0.678
11 Cl 0.773 0.459 0.098
12 Cl 0.902 0.227 0.541

Its space group is R-3. As for the raw formation energy: -134.6 kJ per mole of atoms. For the total energy, the calculation gives -4.132 eV per atom. The value obtained for the density of states at the Fermi level is 0.032 states/eV per atom.

---

7.
Below is crystalline Na3NbCu at its relaxed geometry, with properties calculated at the GGA-PBE level.

a = 5.307 Å, b = 5.307 Å, c = 5.307 Å
α = 90.00°, β = 90.00°, γ = 90.00°
Fractional positions:
1 Na 0.000 0.000 0.500
2 Na 0.000 0.500 0.000
3 Na 0.500 0.000 0.000
4 Nb 0.500 0.500 0.500
5 Cu 0.000 0.000 0.000

Its space group is Pm-3m. The formation energy from the elements is 5.8 eV per formula unit. For the total energy, the calculation gives -2.471 eV per atom. The value obtained for the density of states at the Fermi level is 0.946 states/eV per atom.

---

8.
Below is crystalline PrSi2Pd2Rh at its relaxed geometry, with properties calculated at the GGA-PBE level.

a = 4.547 Å, b = 4.547 Å, c = 5.612 Å
α = 90.00°, β = 90.00°, γ = 90.00°
Fractional positions:
1 Pr 0.000 0.000 0.000
2 Si 0.000 0.500 0.500
3 Si 0.500 0.000 0.500
4 Pd 0.500 0.500 0.249
5 Pd 0.500 0.500 0.751
6 Rh 0.000 0.000 0.500

Its space group is P4/mmm. As for the raw formation energy: -48.5 kJ per mole of atoms. For the total energy, the calculation gives -6.064 eV per atom. The value obtained for the density of states at the Fermi level is 0.400 states/eV per atom.

---

9.
Below is crystalline Mn2SbAs at its relaxed geometry, with properties calculated at the GGA-PBE level.

a = 3.553 Å, b = 3.311 Å, c = 12.224 Å
α = 90.00°, β = 90.00°, γ = 90.00°
Fractional positions:
1 Mn 0.000 0.000 0.000
2 Mn 0.000 0.500 0.500
3 Mn 0.500 0.000 0.173
4 Mn 0.500 0.500 0.673
5 Sb 0.500 0.000 0.395
6 Sb 0.500 0.500 0.895
7 As 0.000 0.000 0.648
8 As 0.000 0.500 0.148

Its space group is Amm2. As for the raw formation energy: 2.1 kJ per mole of atoms. For the total energy, the calculation gives -6.756 eV per atom. The value obtained for the density of states at the Fermi level is 0.729 states/eV per atom.

---

10.
Below is crystalline LaTiBi3 at its relaxed geometry, with properties calculated at the GGA-PBE level.

a = 5.446 Å, b = 5.446 Å, c = 5.446 Å
α = 90.00°, β = 90.00°, γ = 90.00°
Fractional positions:
1 La 0.000 0.000 0.000
2 Ti 0.500 0.500 0.500
3 Bi 0.000 0.500 0.500
4 Bi 0.500 0.000 0.500
5 Bi 0.500 0.500 0.000

Its space group is Pm-3m. The formation energy from the elements is -0.9 eV per formula unit. For the total energy, the calculation gives -5.067 eV per atom. The value obtained for the density of states at the Fermi level is 1.507 states/eV per atom.

---

11.
Below is crystalline HoTh2Mg at its relaxed geometry, with properties calculated at the GGA-PBE level.

a = 3.478 Å, b = 3.478 Å, c = 10.043 Å
α = 90.00°, β = 90.00°, γ = 90.00°
Fractional positions:
1 Ho 0.000 0.000 0.000
2 Th 0.500 0.500 0.258
3 Th 0.500 0.500 0.742
4 Mg 0.000 0.000 0.500

Its space group is P4/mmm. The formation energy from the elements is 0.3 eV per formula unit. For the total energy, the calculation gives -5.174 eV per atom. The value obtained for the density of states at the Fermi level is 1.182 states/eV per atom.

---

12.
Below is crystalline KAcCdGe at its relaxed geometry, with properties calculated at the GGA-PBE level.

a = 7.955 Å, b = 7.955 Å, c = 7.955 Å
α = 90.00°, β = 90.00°, γ = 90.00°
Fractional positions:
1 K 0.000 0.000 0.000
2 K 0.000 0.500 0.500
3 K 0.500 0.000 0.500
4 K 0.500 0.500 0.000
5 Ac 0.000 0.000 0.500
6 Ac 0.000 0.500 0.000
7 Ac 0.500 0.000 0.000
8 Ac 0.500 0.500 0.500
9 Cd 0.250 0.250 0.250
10 Cd 0.250 0.750 0.750
11 Cd 0.750 0.250 0.750
12 Cd 0.750 0.750 0.250
13 Ge 0.250 0.250 0.750
14 Ge 0.250 0.750 0.250
15 Ge 0.750 0.250 0.250
16 Ge 0.750 0.750 0.750

Its space group is F-43m. The formation energy from the elements is -0.8 eV per formula unit. For the total energy, the calculation gives -2.879 eV per atom. The value obtained for the density of states at the Fermi level is 0.196 states/eV per atom.

---

Looking at M_tot for the records above, in order, we have 0.0; 0.0; 0.1; 0.0; 0.0; 5.0; 4.6; 0.0; 9.9; 0.0; 0.0; 0.0 μB per cell.